[1]
VASP calculation (PBEsol) on Na2YPt after structural relaxation.

Final energy (Ry/atom): -0.31872
Calculated formation energy (eV per atom): -0.190
ρ (g/cm³): 5.773

Lattice parameters (Å, degrees): 4.021 4.021 23.485 90.00 90.00 90.00
Space group I-42d (No. 122)
Unique sites:
1 Na 0.220 0.250 0.125 (multiplicity 8)
2 Y 0.000 0.000 0.500 (multiplicity 4)
3 Pt 0.000 0.000 0.000 (multiplicity 4)

[2]
VASP calculation (PBEsol) on LiOsRh2 after structural relaxation.

Polymorph energy (0 for the lowest one) (kJ per mole of atoms): 0.0
Final energy (Ry/atom): -0.55091
Calculated formation energy (eV per atom): 0.119
ρ (g/cm³): 12.858

Lattice parameters (Å, degrees): 3.810 3.810 7.169 90.00 90.00 90.00
Space group I4/mmm (No. 139)
Unique sites:
1 Li 0.000 0.000 0.000 (multiplicity 2)
2 Os 0.000 0.000 0.500 (multiplicity 2)
3 Rh 0.000 0.500 0.250 (multiplicity 4)

[3]
VASP calculation (PBEsol) on ZrB after structural relaxation.

Final energy (Ry/atom): -0.62477
Calculated formation energy (eV per atom): -0.447
ρ (g/cm³): 5.905

Lattice parameters (Å, degrees): 3.5470 3.5470 5.2669 90.00 90.00 120.00
Space group P6_3/mmc (No. 194)
Unique sites:
1 Zr 0.3333 0.6667 0.2500 (multiplicity 2)
2 B 0.0000 0.0000 0.0000 (multiplicity 2)

[4]
VASP calculation (PBEsol) on CsTl2Se2 after structural relaxation.

Final energy (Ry/atom): -0.24366
ΔE_f (raw) (eV/f.u.): -2.67
ρ (g/cm³): 7.323

Lattice parameters (Å, degrees): 5.504 5.504 10.473 90.00 90.00 90.00
Space group I4/mmm (No. 139)
Unique sites:
1 Cs 0.000 0.000 0.000 (multiplicity 2)
2 Tl 0.000 0.000 0.353 (multiplicity 4)
3 Se 0.000 0.500 0.250 (multiplicity 4)

[5]
VASP calculation (PBEsol) on PtAu3 after structural relaxation.

Final energy (Ry/atom): -0.33941
Calculated formation energy (eV per atom): 0.066
ρ (g/cm³): 19.816

Lattice parameters (Å, degrees): 9.0707 9.0707 2.7731 90.00 90.00 120.00
Space group R-3m (No. 166, hexagonal axes)
Unique sites:
1 Pt 0.0000 0.0000 0.0000 (multiplicity 3)
2 Au 0.0000 0.5000 0.0000 (multiplicity 9)

[6]
VASP calculation (PBEsol) on CoOsC2 after structural relaxation.

Final energy (Ry/atom): -0.63440
Calculated formation energy (eV per atom): 1.179
ρ (g/cm³): 13.266

Lattice parameters (Å, degrees): 5.152 5.152 5.152 90.00 90.00 90.00
Space group Fm-3m (No. 225)
Unique sites:
1 Co 0.000 0.000 0.000 (multiplicity 4)
2 Os 0.000 0.000 0.500 (multiplicity 4)
3 C 0.250 0.250 0.250 (multiplicity 8)

[7]
VASP calculation (PBEsol) on SmNiO3 after structural relaxation.

Final energy (Ry/atom): -0.55923
ΔE_f (raw) (eV/f.u.): -11.05
ρ (g/cm³): 8.065

Lattice parameters (Å, degrees): 5.398 7.468 5.251 90.00 90.00 90.00
Space group Pnma (No. 62)
Unique sites:
1 Sm 0.057 0.250 0.013 (multiplicity 4)
2 Ni 0.000 0.000 0.500 (multiplicity 4)
3 O 0.013 0.750 0.421 (multiplicity 4)
4 O 0.209 0.542 0.792 (multiplicity 8)

[8]
VASP calculation (PBEsol) on Mg3Au4 after structural relaxation.

Final energy (Ry/atom): -0.25182
Calculated formation energy (eV per atom): -0.448
ρ (g/cm³): 11.577

Lattice parameters (Å, degrees): 3.488 3.488 20.295 90.00 90.00 90.00
Space group I4/mmm (No. 139)
Unique sites:
1 Mg 0.000 0.000 0.000 (multiplicity 2)
2 Mg 0.000 0.000 0.294 (multiplicity 4)
3 Au 0.000 0.000 0.149 (multiplicity 4)
4 Au 0.000 0.000 0.431 (multiplicity 4)